Entry 1:
The following is a PBE calculation of a relaxed structure of Ta5Si, from the Alexandria database.

Cell and atoms, written as CIF:
```
data_Ta5Si
_cell_length_a 5.2093
_cell_length_b 5.2093
_cell_length_c 5.1638
_cell_angle_alpha 90.00
_cell_angle_beta 90.00
_cell_angle_gamma 120.00
_symmetry_space_group_name_H-M 'P 6/m m m'
_symmetry_Int_Tables_number 191
_symmetry_space_group_name_Hall '-P 6 2'
loop_
_atom_site_label
_atom_site_type_symbol
_atom_site_fract_x
_atom_site_fract_y
_atom_site_fract_z
Ta1 Ta 0.0000 0.5000 0.0000
Ta2 Ta 0.3333 0.6667 0.5000
Si1 Si 0.0000 0.0000 0.5000
```

* total magnetization: 0.00 μB per atom
* polymorph energy (0 for the lowest one): 0.958 eV/atom
* mass density: 12.76 g/cm³
* ΔE_f (raw): 0.817 eV/atom
* raw total energy: -59.78 eV for the cell shown

***

Entry 2:
The following is a PBE calculation of a relaxed structure of K2RbCdN, from the Alexandria database.

Cell and atoms, written as CIF:
```
data_K2RbCdN
_cell_length_a 8.173
_cell_length_b 8.173
_cell_length_c 7.211
_cell_angle_alpha 90.00
_cell_angle_beta 90.00
_cell_angle_gamma 90.00
_symmetry_space_group_name_H-M 'P 4/m m m'
_symmetry_Int_Tables_number 123
_symmetry_space_group_name_Hall '-P 4 2'
loop_
_atom_site_label
_atom_site_type_symbol
_atom_site_fract_x
_atom_site_fract_y
_atom_site_fract_z
K1 K 0.000 0.500 0.000
Rb1 Rb 0.000 0.000 0.000
Cd1 Cd 0.000 0.000 0.500
N1 N 0.500 0.500 0.500
```

* total magnetization: 0.47 μB per atom
* mass density: 1.00 g/cm³
* ΔE_f (raw): 1.265 eV/atom
* raw total energy: -6.08 eV for the cell shown

***

Entry 3:
The following is a PBE calculation of a relaxed structure of Y2ReSe, from the Alexandria database.

Cell and atoms, written as CIF:
```
data_Y2ReSe
_cell_length_a 4.095
_cell_length_b 4.095
_cell_length_c 10.529
_cell_angle_alpha 90.00
_cell_angle_beta 90.00
_cell_angle_gamma 90.00
_symmetry_space_group_name_H-M 'I -4 m 2'
_symmetry_Int_Tables_number 119
_symmetry_space_group_name_Hall 'I -4 -2'
loop_
_atom_site_label
_atom_site_type_symbol
_atom_site_fract_x
_atom_site_fract_y
_atom_site_fract_z
Y1 Y 0.000 0.000 0.000
Y2 Y 0.000 0.500 0.250
Re1 Re 0.000 0.500 0.750
Se1 Se 0.000 0.000 0.500
```

* total magnetization: 0.17 μB per atom
* mass density: 8.33 g/cm³
* ΔE_f (raw): -0.109 eV/atom
* raw total energy: -58.59 eV for the cell shown

***

Entry 4:
The following is a PBE calculation of a relaxed structure of InMoRu2, from the Alexandria database.

Cell and atoms, written as CIF:
```
data_InMoRu2
_cell_length_a 4.491
_cell_length_b 4.491
_cell_length_c 3.143
_cell_angle_alpha 90.00
_cell_angle_beta 90.00
_cell_angle_gamma 90.00
_symmetry_space_group_name_H-M 'P 4/m m m'
_symmetry_Int_Tables_number 123
_symmetry_space_group_name_Hall '-P 4 2'
loop_
_atom_site_label
_atom_site_type_symbol
_atom_site_fract_x
_atom_site_fract_y
_atom_site_fract_z
In1 In 0.000 0.000 0.000
Mo1 Mo 0.500 0.500 0.000
Ru1 Ru 0.000 0.500 0.500
```

* total magnetization: 0.00 μB per atom
* mass density: 10.82 g/cm³
* E_form: 69 kJ/mol of formula units
* raw total energy: -31.41 eV for the cell shown

***

> Look up the total magnetization of the first one.

0.00 μB per atom